Material: LaPmOsAu
Method: DFT, PBE
State: optimized geometry

```
data_LaPmOsAu
_cell_length_a 5.126
_cell_length_b 5.126
_cell_length_c 5.126
_cell_angle_alpha 60.00
_cell_angle_beta 60.00
_cell_angle_gamma 60.00
_symmetry_space_group_name_H-M 'P 1'
_symmetry_Int_Tables_number 1
_symmetry_space_group_name_Hall 'P 1'
loop_
_atom_site_label
_atom_site_type_symbol
_atom_site_fract_x
_atom_site_fract_y
_atom_site_fract_z
Os1 Os 0.500 0.500 0.500
La1 La 0.250 0.250 0.250
Au1 Au 0.000 0.000 0.000
Pm1 Pm 0.750 0.750 0.750
```

## Properties
uncorrected energy: -6.37 eV/atom
ΔH_f (0 K): -323 meV/atom
symmetry: F-43m
magnetic moment: 0.00 μB per formula unit